Run one
{
  "formula": "LiCaZr",
  "functional": "PBE",
  "state": "optimized geometry",
  "dos_at_fermi_per_ev_cell": 5.07,
  "mass_density_g_cm3": 2.6,
  "lattice_angstrom": [[-1.0114, -4.7958, -0.8128], [1.7435, -3.4669, 3.1023], [-3.1141, -2.4277, 3.0153]],
  "species": ["Li", "Zr", "Ca"],
  "fractional_positions": [[0.7500, 0.7500, 0.7500], [0.0000, 0.0000, 0.0000], [0.5000, 0.5000, 0.5000]]
}

Run two
{
  "formula": "LiCaZr",
  "functional": "PBE",
  "state": "optimized geometry",
  "dos_at_fermi_per_ev_cell": 3.74,
  "mass_density_g_cm3": 3.0,
  "lattice_angstrom": [[7.3161, -0.0402, 0.0000], [5.8366, 4.4114, 0.0000], [-6.5764, -2.1856, 2.3455]],
  "species": ["Li", "Ca", "Zr"],
  "fractional_positions": [[0.3218, 0.3218, 0.0000], [0.9971, 0.9971, 0.0000], [0.6811, 0.6811, 0.0000]]
}

Run three
{
  "formula": "LiCaZr",
  "functional": "PBE",
  "state": "optimized geometry",
  "dos_at_fermi_per_ev_cell": 4.16,
  "mass_density_g_cm3": 2.9,
  "lattice_angstrom": [[8.5544, -0.0249, 0.0188], [7.7663, 3.0861, 0.0019], [0.7881, -0.8575, 2.9905]],
  "species": ["Zr", "Ca", "Li"],
  "fractional_positions": [[0.3266, 0.3266, 0.6734], [0.9988, 0.9988, 0.0012], [0.6745, 0.6745, 0.3255]]
}

Verdict on stability: run two comes out on top.

Run one
{
  "formula": "LiCaZr",
  "functional": "PBE",
  "state": "optimized geometry",
  "dos_at_fermi_per_ev_cell": 5.75,
  "mass_density_g_cm3": 2.7,
  "lattice_angstrom": [[-1.4285, 0.0844, -4.1485], [-3.2940, -2.6159, -1.2508], [-8.3288, 6.4818, 0.6783]],
  "species": ["Zr", "Zr", "Ca", "Ca", "Li", "Li"],
  "fractional_positions": [[0.9203, 0.9203, 0.5230], [0.8329, 0.8329, 0.7844], [0.0906, 0.0906, 0.0088], [0.6624, 0.6624, 0.2987], [0.2113, 0.2113, 0.6493], [0.5420, 0.5420, 0.6579]]
}

Run two
{
  "formula": "LiCaZr",
  "functional": "PBE",
  "state": "optimized geometry",
  "dos_at_fermi_per_ev_cell": 3.81,
  "mass_density_g_cm3": 2.9,
  "lattice_angstrom": [[-0.4280, -1.8350, 2.6959], [2.5431, -0.5864, -2.0019], [4.7766, 5.4534, 4.4703]],
  "species": ["Zr", "Li", "Ca"],
  "fractional_positions": [[0.6667, 0.3333, 0.6568], [0.3333, 0.6667, 0.3490], [0.0000, 0.0000, 0.9943]]
}

Verdict on stability: run two comes out on top.

Run one
{
  "formula": "LiCaZr3",
  "functional": "PBE",
  "state": "optimized geometry",
  "dos_at_fermi_per_ev_cell": 10.02,
  "mass_density_g_cm3": 4.3,
  "lattice_angstrom": [[4.9878, 0.0000, 0.0000], [0.0000, 4.9878, 0.0000], [0.0000, 0.0000, 4.9878]],
  "species": ["Ca", "Zr", "Zr", "Zr", "Li"],
  "fractional_positions": [[0.5000, 0.5000, 0.5000], [0.0000, 0.5000, 0.0000], [0.5000, 0.0000, 0.0000], [0.0000, 0.0000, 0.5000], [0.0000, 0.0000, 0.0000]]
}

Run two
{
  "formula": "LiCaZr3",
  "functional": "PBE",
  "state": "optimized geometry",
  "dos_at_fermi_per_ev_cell": 15.05,
  "mass_density_g_cm3": 3.8,
  "lattice_angstrom": [[-1.1991, -4.0276, -3.0560], [4.9650, -0.3458, -1.4925], [0.9535, -3.2646, 3.9283]],
  "species": ["Zr", "Zr", "Zr", "Li", "Ca"],
  "fractional_positions": [[0.0000, 0.0000, 0.5000], [0.5000, 0.0000, 0.0000], [0.0000, 0.5000, 0.0000], [0.5000, 0.5000, 0.5000], [0.0000, 0.0000, 0.0000]]
}

Verdict on stability: run one comes out on top.

Run one
{
  "formula": "NaCa2Lu",
  "functional": "PBE",
  "state": "optimized geometry",
  "dos_at_fermi_per_ev_cell": 4.01,
  "mass_density_g_cm3": 3.2,
  "lattice_angstrom": [[3.8632, 0.0000, 0.0000], [0.0000, 6.1282, 0.0000], [0.0000, 0.0000, 6.1282]],
  "species": ["Na", "Ca", "Ca", "Lu"],
  "fractional_positions": [[0.5000, 0.0000, 0.0000], [0.0000, 0.0000, 0.5000], [0.0000, 0.5000, 0.0000], [0.5000, 0.5000, 0.5000]]
}

Run two
{
  "formula": "NaCa2Lu",
  "functional": "PBE",
  "state": "optimized geometry",
  "dos_at_fermi_per_ev_cell": 5.52,
  "mass_density_g_cm3": 3.1,
  "lattice_angstrom": [[-3.5940, -0.2074, 0.6215], [0.6547, -1.0027, 3.4514], [-0.0769, 10.6383, 3.1053]],
  "species": ["Ca", "Ca", "Na", "Lu"],
  "fractional_positions": [[0.0000, 0.0000, 0.2366], [0.0000, 0.0000, 0.7634], [0.5000, 0.5000, 0.5000], [0.5000, 0.5000, 0.0000]]
}

Verdict on stability: run two comes out on top.

Run one
{
  "formula": "Ca2LuPb",
  "functional": "PBE",
  "state": "optimized geometry",
  "dos_at_fermi_per_ev_cell": 4.39,
  "mass_density_g_cm3": 5.4,
  "lattice_angstrom": [[-2.3294, 1.3217, -2.4446], [-2.0730, -2.2594, -1.9356], [-10.2697, 0.2962, 7.2562]],
  "species": ["Ca", "Ca", "Lu", "Pb"],
  "fractional_positions": [[0.9126, 0.9126, 0.2623], [0.0874, 0.0874, 0.7377], [0.5000, 0.5000, 0.5000], [0.0000, 0.0000, 0.0000]]
}

Run two
{
  "formula": "Ca2LuPb",
  "functional": "PBE",
  "state": "optimized geometry",
  "dos_at_fermi_per_ev_cell": 2.47,
  "mass_density_g_cm3": 6.3,
  "lattice_angstrom": [[5.1051, 0.0000, 0.0000], [0.0000, 4.9001, 0.0000], [0.0000, 0.0000, 4.9001]],
  "species": ["Ca", "Ca", "Pb", "Lu"],
  "fractional_positions": [[0.0000, 0.0000, 0.5000], [0.0000, 0.5000, 0.0000], [0.5000, 0.0000, 0.0000], [0.5000, 0.5000, 0.5000]]
}

Verdict on stability: run two comes out on top.

Run one
{
  "formula": "CaLu2Pb",
  "functional": "PBE",
  "state": "optimized geometry",
  "dos_at_fermi_per_ev_cell": 4.30,
  "mass_density_g_cm3": 8.6,
  "lattice_angstrom": [[-1.5598, 2.7278, 3.6790], [0.3857, -3.8294, 3.0028], [4.6048, 1.2614, 1.0171]],
  "species": ["Lu", "Lu", "Pb", "Ca"],
  "fractional_positions": [[0.0000, 0.5000, 0.0000], [0.0000, 0.0000, 0.5000], [0.5000, 0.0000, 0.0000], [0.5000, 0.5000, 0.5000]]
}

Run two
{
  "formula": "CaLu2Pb",
  "functional": "PBE",
  "state": "optimized geometry",
  "dos_at_fermi_per_ev_cell": 4.02,
  "mass_density_g_cm3": 7.8,
  "lattice_angstrom": [[3.5342, 0.0000, 0.0000], [1.7671, 3.0607, 0.0000], [1.7671, 1.0202, 11.7954]],
  "species": ["Lu", "Lu", "Pb", "Ca"],
  "fractional_positions": [[0.9058, 0.9058, 0.2826], [0.0942, 0.0942, 0.7174], [0.5000, 0.5000, 0.5000], [0.0000, 0.0000, 0.0000]]
}

Verdict on stability: run one comes out on top.

Run one
{
  "formula": "CaLuPd2",
  "functional": "PBE",
  "state": "optimized geometry",
  "dos_at_fermi_per_ev_cell": 1.73,
  "mass_density_g_cm3": 7.4,
  "lattice_angstrom": [[4.0346, 0.0000, 0.0000], [2.0173, 3.4940, 0.0000], [2.0173, 1.1647, 6.8269]],
  "species": ["Lu", "Ca", "Pd", "Pd"],
  "fractional_positions": [[0.5000, 0.5000, 0.5000], [0.0000, 0.0000, 0.0000], [0.7583, 0.7583, 0.7250], [0.2417, 0.2417, 0.2750]]
}

Run two
{
  "formula": "CaLuPd2",
  "functional": "PBE",
  "state": "optimized geometry",
  "dos_at_fermi_per_ev_cell": 1.26,
  "mass_density_g_cm3": 8.4,
  "lattice_angstrom": [[3.4502, 0.0000, 0.0000], [0.0000, 3.4502, 0.0000], [0.0000, 0.0000, 7.1215]],
  "species": ["Lu", "Ca", "Pd", "Pd"],
  "fractional_positions": [[0.5000, 0.5000, 0.0000], [0.5000, 0.5000, 0.5000], [0.0000, 0.0000, 0.7782], [0.0000, 0.0000, 0.2218]]
}

Verdict on stability: run two comes out on top.

Run one
{
  "formula": "CaPr2Lu",
  "functional": "PBE",
  "state": "optimized geometry",
  "dos_at_fermi_per_ev_cell": 4.80,
  "mass_density_g_cm3": 5.7,
  "lattice_angstrom": [[3.6018, 0.0000, 0.0000], [1.8009, 3.1193, 0.0000], [1.8009, 1.0398, 12.8565]],
  "species": ["Pr", "Pr", "Lu", "Ca"],
  "fractional_positions": [[0.0924, 0.0924, 0.7228], [0.9076, 0.9076, 0.2772], [0.5000, 0.5000, 0.5000], [0.0000, 0.0000, 0.0000]]
}

Run two
{
  "formula": "CaPr2Lu",
  "functional": "PBE",
  "state": "optimized geometry",
  "dos_at_fermi_per_ev_cell": 5.60,
  "mass_density_g_cm3": 5.9,
  "lattice_angstrom": [[-0.6919, -3.9931, 2.8313], [3.7228, 1.7480, 3.3750], [-3.7272, 2.6044, 2.7624]],
  "species": ["Pr", "Pr", "Ca", "Lu"],
  "fractional_positions": [[0.0000, 0.5000, 0.0000], [0.0000, 0.0000, 0.5000], [0.5000, 0.0000, 0.0000], [0.5000, 0.5000, 0.5000]]
}

Verdict on stability: run two comes out on top.

Run one
{
  "formula": "CaPr2Lu",
  "functional": "PBE",
  "state": "optimized geometry",
  "dos_at_fermi_per_ev_cell": 4.76,
  "mass_density_g_cm3": 5.7,
  "lattice_angstrom": [[4.0567, 0.0000, 0.0000], [0.0000, 4.0567, 0.0000], [0.0000, 0.0000, 8.7783]],
  "species": ["Pr", "Pr", "Lu", "Ca"],
  "fractional_positions": [[0.0000, 0.0000, 0.7794], [0.0000, 0.0000, 0.2206], [0.5000, 0.5000, 0.0000], [0.5000, 0.5000, 0.5000]]
}

Run two
{
  "formula": "CaPr2Lu",
  "functional": "PBE",
  "state": "optimized geometry",
  "dos_at_fermi_per_ev_cell": 5.18,
  "mass_density_g_cm3": 5.9,
  "lattice_angstrom": [[5.8376, 0.0000, 0.0000], [2.9188, 5.0555, 0.0000], [2.9188, 1.6852, 4.7664]],
  "species": ["Pr", "Pr", "Lu", "Ca"],
  "fractional_positions": [[0.2500, 0.2500, 0.2500], [0.7500, 0.7500, 0.7500], [0.0000, 0.0000, 0.0000], [0.5000, 0.5000, 0.5000]]
}

Verdict on stability: run one comes out on top.

Run one
{
  "formula": "Ca2PrLu",
  "functional": "PBE",
  "state": "optimized geometry",
  "dos_at_fermi_per_ev_cell": 5.80,
  "mass_density_g_cm3": 4.5,
  "lattice_angstrom": [[-2.7462, 1.0538, -2.0572], [-2.9668, -2.0105, -0.2008], [-7.0177, 6.2108, 9.4180]],
  "species": ["Lu", "Ca", "Ca", "Pr"],
  "fractional_positions": [[0.0000, 0.0000, 0.0000], [0.0858, 0.0858, 0.7427], [0.9142, 0.9142, 0.2573], [0.5000, 0.5000, 0.5000]]
}

Run two
{
  "formula": "Ca2PrLu",
  "functional": "PBE",
  "state": "optimized geometry",
  "dos_at_fermi_per_ev_cell": 5.90,
  "mass_density_g_cm3": 4.6,
  "lattice_angstrom": [[4.1349, 0.0000, 0.0000], [0.0000, 4.1349, 0.0000], [0.0000, 0.0000, 8.4369]],
  "species": ["Lu", "Ca", "Ca", "Pr"],
  "fractional_positions": [[0.5000, 0.5000, 0.0000], [0.0000, 0.0000, 0.2391], [0.0000, 0.0000, 0.7609], [0.5000, 0.5000, 0.5000]]
}

Run three
{
  "formula": "Ca2PrLu",
  "functional": "PBE",
  "state": "optimized geometry",
  "dos_at_fermi_per_ev_cell": 7.87,
  "mass_density_g_cm3": 4.5,
  "lattice_angstrom": [[5.6041, 0.0000, 0.0000], [0.0000, 5.0828, 0.0000], [0.0000, 0.0000, 5.0828]],
  "species": ["Pr", "Ca", "Ca", "Lu"],
  "fractional_positions": [[0.5000, 0.0000, 0.0000], [0.0000, 0.5000, 0.0000], [0.0000, 0.0000, 0.5000], [0.5000, 0.5000, 0.5000]]
}

Verdict on stability: run three comes out on top.

Run one
{
  "formula": "CaLu2Pu",
  "functional": "PBE",
  "state": "optimized geometry",
  "dos_at_fermi_per_ev_cell": 12.09,
  "mass_density_g_cm3": 8.4,
  "lattice_angstrom": [[-0.6363, -0.1367, 3.3782], [-2.5362, -1.9948, 1.1934], [6.7679, -10.0029, 2.6217]],
  "species": ["Lu", "Lu", "Ca", "Pu"],
  "fractional_positions": [[0.9084, 0.9084, 0.2747], [0.0916, 0.0916, 0.7253], [0.0000, 0.0000, 0.0000], [0.5000, 0.5000, 0.5000]]
}

Run two
{
  "formula": "CaLu2Pu",
  "functional": "PBE",
  "state": "optimized geometry",
  "dos_at_fermi_per_ev_cell": 8.31,
  "mass_density_g_cm3": 8.4,
  "lattice_angstrom": [[-1.1824, -3.2511, 0.6108], [2.9464, -1.3299, -1.3749], [4.3295, 0.1425, 9.1402]],
  "species": ["Lu", "Lu", "Ca", "Pu"],
  "fractional_positions": [[0.0000, 0.0000, 0.2247], [0.0000, 0.0000, 0.7753], [0.5000, 0.5000, 0.5000], [0.5000, 0.5000, 0.0000]]
}

Verdict on stability: run two comes out on top.

Run one
{
  "formula": "CaLuRh",
  "functional": "PBE",
  "state": "optimized geometry",
  "dos_at_fermi_per_ev_cell": 1.67,
  "mass_density_g_cm3": 7.0,
  "lattice_angstrom": [[-1.0915, 2.3410, 2.2017], [-3.1751, -1.1443, -0.3573], [3.0864, -4.7780, 3.9944]],
  "species": ["Rh", "Lu", "Ca"],
  "fractional_positions": [[0.6794, 0.6794, 0.3588], [0.2892, 0.2892, 0.5785], [0.0313, 0.0313, 0.0627]]
}

Run two
{
  "formula": "CaLuRh",
  "functional": "PBE",
  "state": "optimized geometry",
  "dos_at_fermi_per_ev_cell": 0.70,
  "mass_density_g_cm3": 6.9,
  "lattice_angstrom": [[-3.7631, 2.8806, -0.5655], [-3.7821, -0.4216, 2.8803], [-0.9232, 3.3833, 3.2372]],
  "species": ["Lu", "Ca", "Rh"],
  "fractional_positions": [[0.0000, 0.0000, 0.0000], [0.5000, 0.5000, 0.5000], [0.2500, 0.2500, 0.2500]]
}

Verdict on stability: run one comes out on top.

Run one
{
  "formula": "CaLu2Ru",
  "functional": "PBE",
  "state": "optimized geometry",
  "dos_at_fermi_per_ev_cell": 2.42,
  "mass_density_g_cm3": 6.7,
  "lattice_angstrom": [[3.9615, 0.0000, 0.0000], [1.9807, 3.4307, 0.0000], [1.9807, 1.1436, 8.9667]],
  "species": ["Lu", "Lu", "Ca", "Ru"],
  "fractional_positions": [[0.2814, 0.2814, 0.1558], [0.7186, 0.7186, 0.8442], [0.5000, 0.5000, 0.5000], [0.0000, 0.0000, 0.0000]]
}

Run two
{
  "formula": "CaLu2Ru",
  "functional": "PBE",
  "state": "optimized geometry",
  "dos_at_fermi_per_ev_cell": 1.57,
  "mass_density_g_cm3": 7.7,
  "lattice_angstrom": [[-1.4017, 2.9675, -0.8851], [-0.3208, -1.1055, -3.1983], [-8.3316, -3.3417, 1.9909]],
  "species": ["Lu", "Lu", "Ca", "Ru"],
  "fractional_positions": [[0.0000, 0.0000, 0.8272], [0.0000, 0.0000, 0.1728], [0.5000, 0.5000, 0.5000], [0.5000, 0.5000, 0.0000]]
}

Verdict on stability: run two comes out on top.

Run one
{
  "formula": "CaSmLu",
  "functional": "PBE",
  "state": "optimized geometry",
  "dos_at_fermi_per_ev_cell": 4.60,
  "mass_density_g_cm3": 5.9,
  "lattice_angstrom": [[-3.2467, -0.7998, -1.3631], [1.2839, -1.8601, 2.8161], [-3.8476, 5.9415, 5.6786]],
  "species": ["Sm", "Lu", "Ca"],
  "fractional_positions": [[0.3333, 0.6667, 0.6483], [0.6667, 0.3333, 0.3457], [0.0000, 0.0000, 0.0059]]
}

Run two
{
  "formula": "CaSmLu",
  "functional": "PBE",
  "state": "optimized geometry",
  "dos_at_fermi_per_ev_cell": 4.99,
  "mass_density_g_cm3": 5.9,
  "lattice_angstrom": [[-2.0821, -0.1906, 2.9718], [0.0251, -3.6271, -0.2150], [7.3998, 1.6892, 3.0714]],
  "species": ["Sm", "Lu", "Ca"],
  "fractional_positions": [[0.3225, 0.3225, 0.6449], [0.6753, 0.6753, 0.3507], [0.0022, 0.0022, 0.0044]]
}

Verdict on stability: run two comes out on top.